{
  "formula": "BeCoCuSi",
  "functional": "PBE",
  "state": "relaxed",
  "lattice": [[0.0000, 2.7345, 2.7345], [2.7345, 0.0000, 2.7345], [2.7345, 2.7345, 0.0000]],
  "species": ["Be", "Co", "Cu", "Si"],
  "fractional_positions": [[0.0000, 0.0000, 0.0000], [0.2500, 0.2500, 0.2500], [0.7500, 0.7500, 0.7500], [0.5000, 0.5000, 0.5000]],
  "energy_ev_per_cell": -20.918,
  "total_magnetization_mub_per_fu": 0.0
}



{
  "formula": "Ta2Cu3W4N3",
  "functional": "PBE",
  "state": "relaxed",
  "lattice": [[4.3563, -2.5168, 0.0000], [4.3563, 2.5168, 0.0000], [-2.8882, 0.0000, 13.9327]],
  "species": ["Ta", "Ta", "Ta", "Ta", "Cu", "Cu", "Cu", "Cu", "Cu", "Cu", "W", "W", "W", "W", "W", "W", "W", "W", "N", "N", "N", "N", "N", "N"],
  "fractional_positions": [[0.0356, 0.8685, 0.6072], [0.1315, 0.9644, 0.8928], [0.8685, 0.0356, 0.1072], [0.9644, 0.1315, 0.3928], [0.0815, 0.5041, 0.7495], [0.3302, 0.6698, 0.2500], [0.4959, 0.9185, 0.7505], [0.5041, 0.0815, 0.2495], [0.6698, 0.3302, 0.7500], [0.9185, 0.4959, 0.2505], [0.1985, 0.3675, 0.0947], [0.3049, 0.4651, 0.4052], [0.3675, 0.1985, 0.5947], [0.4651, 0.3049, 0.9052], [0.5349, 0.6951, 0.0948], [0.6325, 0.8015, 0.4053], [0.6951, 0.5349, 0.5948], [0.8015, 0.6325, 0.9053], [0.0000, 0.5000, 0.5000], [0.1577, 0.6847, 0.0000], [0.3153, 0.8423, 0.5000], [0.5000, 0.0000, 0.0000], [0.6847, 0.1577, 0.5000], [0.8423, 0.3153, 0.0000]],
  "energy_ev_per_cell": -224.880,
  "total_magnetization_mub_per_fu": 0.0
}



{
  "formula": "Co16Re13",
  "functional": "PBE",
  "state": "relaxed",
  "lattice": [[-4.4839, 4.4839, 4.4839], [4.4839, -4.4839, 4.4839], [4.4839, 4.4839, -4.4839]],
  "species": ["Co", "Co", "Co", "Co", "Co", "Co", "Co", "Co", "Co", "Co", "Co", "Co", "Co", "Co", "Co", "Co", "Re", "Re", "Re", "Re", "Re", "Re", "Re", "Re", "Re", "Re", "Re", "Re", "Re"],
  "fractional_positions": [[0.0000, 0.0000, 0.6654], [0.0000, 0.1881, 0.3698], [0.0000, 0.3698, 0.1881], [0.0000, 0.6654, 0.0000], [0.1817, 0.8119, 0.8119], [0.1881, 0.0000, 0.3698], [0.1881, 0.3698, 0.0000], [0.3346, 0.3346, 0.3346], [0.3698, 0.0000, 0.1881], [0.3698, 0.1881, 0.0000], [0.6302, 0.6302, 0.8183], [0.6302, 0.8183, 0.6302], [0.6654, 0.0000, 0.0000], [0.8119, 0.1817, 0.8119], [0.8119, 0.8119, 0.1817], [0.8183, 0.6302, 0.6302], [0.0000, 0.0000, 0.0000], [0.0000, 0.4073, 0.6946], [0.0000, 0.6946, 0.4073], [0.2873, 0.5927, 0.5927], [0.3054, 0.3054, 0.7127], [0.3054, 0.7127, 0.3054], [0.4073, 0.0000, 0.6946], [0.4073, 0.6946, 0.0000], [0.5927, 0.2873, 0.5927], [0.5927, 0.5927, 0.2873], [0.6946, 0.0000, 0.4073], [0.6946, 0.4073, 0.0000], [0.7127, 0.3054, 0.3054]],
  "e_form_ev_per_atom": 0.118,
  "energy_ev_per_cell": -271.774,
  "total_magnetization_mub_per_fu": 9.7
}



{
  "formula": "Y2Lu2O5",
  "functional": "PBE",
  "state": "relaxed",
  "lattice": [[3.8458, 0.0000, 0.0000], [0.0000, 3.8458, 0.0000], [0.0000, 0.0000, 9.4634]],
  "species": ["Y", "Y", "Lu", "Lu", "O", "O", "O", "O", "O"],
  "fractional_positions": [[0.0000, 0.0000, 0.2397], [0.0000, 0.0000, 0.7603], [0.5000, 0.5000, 0.0000], [0.5000, 0.5000, 0.5000], [0.0000, 0.0000, 0.5000], [0.0000, 0.5000, 0.1392], [0.0000, 0.5000, 0.8608], [0.5000, 0.0000, 0.1392], [0.5000, 0.0000, 0.8608]],
  "energy_ev_per_cell": -72.285,
  "total_magnetization_mub_per_fu": 1.0
}



Repeat the first record exactly.
{
  "formula": "BeCoCuSi",
  "functional": "PBE",
  "state": "relaxed",
  "lattice": [[0.0000, 2.7345, 2.7345], [2.7345, 0.0000, 2.7345], [2.7345, 2.7345, 0.0000]],
  "species": ["Be", "Co", "Cu", "Si"],
  "fractional_positions": [[0.0000, 0.0000, 0.0000], [0.2500, 0.2500, 0.2500], [0.7500, 0.7500, 0.7500], [0.5000, 0.5000, 0.5000]],
  "energy_ev_per_cell": -20.918,
  "total_magnetization_mub_per_fu": 0.0
}